La3Dy2Pb3: optimized geometry, GGA-PBE.

Cell and atoms, written as POSCAR:
```
La3Dy2Pb3
1.0
9.422 0.000 0.000
-4.711 8.160 0.000
0.000 0.000 6.815
La Dy Pb
6 4 6
Direct
0.000 0.243 0.250
0.000 0.757 0.750
0.243 0.000 0.250
0.243 0.243 0.750
0.757 0.000 0.750
0.757 0.757 0.250
0.333 0.667 0.000
0.333 0.667 0.500
0.667 0.333 0.000
0.667 0.333 0.500
0.000 0.398 0.750
0.000 0.602 0.250
0.398 0.000 0.750
0.398 0.398 0.250
0.602 0.000 0.250
0.602 0.602 0.750
```

Values from the calculation:
* symmetry: No. 193
* crystal system: hexagonal
* energy of formation: -0.549 eV per atom



La8Dy2Pb: optimized geometry, GGA-PBE.

Cell and atoms, written as POSCAR:
```
La8Dy2Pb
1.0
10.161 -2.954 0.000
10.161 2.954 0.000
-0.686 0.000 6.513
La Dy Pb
8 2 1
Direct
0.042 0.042 0.253
0.159 0.159 0.786
0.334 0.334 0.887
0.417 0.417 0.408
0.583 0.583 0.592
0.666 0.666 0.113
0.841 0.841 0.214
0.958 0.958 0.747
0.238 0.238 0.344
0.762 0.762 0.656
0.500 0.500 0.000
```

Values from the calculation:
* symmetry: No. 12
* crystal system: monoclinic
* energy of formation: -0.056 eV per atom



LaDy4Pb4: optimized geometry, GGA-PBE.

Cell and atoms, written as POSCAR:
```
LaDy4Pb4
1.0
10.148 0.000 0.000
0.000 10.148 0.000
0.000 0.000 6.204
La Dy Pb
2 8 8
Direct
0.250 0.250 0.250
0.750 0.750 0.750
0.098 0.646 0.163
0.146 0.902 0.663
0.354 0.598 0.663
0.402 0.854 0.163
0.598 0.146 0.837
0.646 0.402 0.337
0.854 0.098 0.337
0.902 0.354 0.837
0.042 0.614 0.672
0.114 0.958 0.172
0.386 0.542 0.172
0.458 0.886 0.672
0.542 0.114 0.328
0.614 0.458 0.828
0.886 0.042 0.828
0.958 0.386 0.328
```

Values from the calculation:
* symmetry: No. 86
* crystal system: tetragonal
* energy of formation: -0.255 eV per atom



LaPmDyPb: optimized geometry, GGA-PBE.

Cell and atoms, written as POSCAR:
```
LaPmDyPb
1.0
0.000 3.980 3.980
3.980 0.000 3.980
3.980 3.980 0.000
La Pm Dy Pb
1 1 1 1
Direct
0.000 0.000 0.000
0.500 0.500 0.500
0.250 0.250 0.250
0.750 0.750 0.750
```

Values from the calculation:
* symmetry: No. 216
* crystal system: cubic
* energy of formation: -0.163 eV per atom



La3DyPb2S: optimized geometry, GGA-PBE.

Cell and atoms, written as POSCAR:
```
La3DyPb2S
1.0
-2.582 2.674 8.505
2.582 -2.674 8.505
2.582 2.674 -8.505
La Dy Pb S
3 1 2 1
Direct
0.000 0.000 0.000
0.331 0.831 0.500
0.669 0.169 0.500
0.500 0.500 0.000
0.135 0.635 0.500
0.865 0.365 0.500
0.500 0.000 0.500
```

Values from the calculation:
* symmetry: No. 71
* crystal system: orthorhombic
* formation energy without anion corrections: -0.88 eV per atom



LaDy4PbS8: optimized geometry, GGA-PBE.

Cell and atoms, written as POSCAR:
```
LaDy4PbS8
1.0
4.058 2.343 6.888
-4.058 2.343 6.888
0.000 -4.686 6.888
La Dy Pb S
1 4 1 8
Direct
0.000 0.000 0.000
0.001 0.001 0.508
0.001 0.508 0.001
0.376 0.376 0.376
0.508 0.001 0.001
0.630 0.630 0.630
0.216 0.757 0.757
0.245 0.245 0.245
0.251 0.251 0.772
0.251 0.772 0.251
0.757 0.216 0.757
0.757 0.757 0.216
0.768 0.768 0.768
0.772 0.251 0.251
```

Values from the calculation:
* symmetry: No. 160
* crystal system: trigonal
* formation energy without anion corrections: -1.78 eV per atom



LaDySnPb: optimized geometry, GGA-PBE.

Cell and atoms, written as POSCAR:
```
LaDySnPb
1.0
0.000 3.905 3.905
3.905 0.000 3.905
3.905 3.905 0.000
La Dy Sn Pb
1 1 1 1
Direct
0.000 0.000 0.000
0.500 0.500 0.500
0.250 0.250 0.250
0.750 0.750 0.750
```

Values from the calculation:
* symmetry: No. 216
* crystal system: cubic
* energy of formation: -0.514 eV per atom



LaDyTlPb: optimized geometry, GGA-PBE.

Cell and atoms, written as POSCAR:
```
LaDyTlPb
1.0
0.000 3.913 3.913
3.913 0.000 3.913
3.913 3.913 0.000
La Dy Tl Pb
1 1 1 1
Direct
0.000 0.000 0.000
0.500 0.500 0.500
0.250 0.250 0.250
0.750 0.750 0.750
```

Values from the calculation:
* symmetry: No. 216
* polymorph energy (0 for the lowest one): 25 meV/atom
* crystal system: cubic
* energy of formation: -0.423 eV per atom



LaDyTlPb: optimized geometry, GGA-PBE.

Cell and atoms, written as POSCAR:
```
LaDyTlPb
1.0
-2.568 2.568 4.482
2.568 -2.568 4.482
2.568 2.568 -4.482
La Dy Tl Pb
1 1 1 1
Direct
0.000 0.000 0.000
0.500 0.500 0.000
0.750 0.250 0.500
0.250 0.750 0.500
```

Values from the calculation:
* symmetry: No. 119
* polymorph energy (0 for the lowest one): 0 meV/atom
* crystal system: tetragonal
* energy of formation: -0.448 eV per atom



La2DyPd2: optimized geometry, GGA-PBE.

Cell and atoms, written as POSCAR:
```
La2DyPd2
1.0
8.023 0.000 0.000
0.000 8.023 0.000
0.000 0.000 4.122
La Dy Pd
4 2 4
Direct
0.169 0.331 0.000
0.331 0.831 0.000
0.669 0.169 0.000
0.831 0.669 0.000
0.000 0.000 0.500
0.500 0.500 0.500
0.131 0.631 0.500
0.369 0.131 0.500
0.631 0.869 0.500
0.869 0.369 0.500
```

Values from the calculation:
* symmetry: No. 127
* crystal system: tetragonal
* energy of formation: -0.679 eV per atom



LaDy3Pd: optimized geometry, GGA-PBE.

Cell and atoms, written as POSCAR:
```
LaDy3Pd
1.0
5.497 0.000 0.000
0.000 5.497 0.000
0.000 0.000 5.497
La Dy Pd
1 3 1
Direct
0.000 0.000 0.000
0.000 0.500 0.500
0.500 0.000 0.500
0.500 0.500 0.000
0.500 0.500 0.500
```

Values from the calculation:
* symmetry: No. 221
* crystal system: cubic
* energy of formation: -0.190 eV per atom



LaDyPd4: optimized geometry, GGA-PBE.

Cell and atoms, written as POSCAR:
```
LaDyPd4
1.0
0.000 3.896 3.896
3.896 0.000 3.896
3.896 3.896 0.000
La Dy Pd
1 1 4
Direct
0.000 0.000 0.000
0.250 0.250 0.250
0.126 0.625 0.625
0.625 0.126 0.625
0.625 0.625 0.126
0.625 0.625 0.625
```

Values from the calculation:
* symmetry: No. 216
* polymorph energy (0 for the lowest one): 57 meV/atom
* crystal system: cubic
* energy of formation: -0.803 eV per atom



LaDyPd: optimized geometry, GGA-PBE.

Cell and atoms, written as POSCAR:
```
LaDyPd
1.0
-1.808 1.808 6.349
1.808 -1.808 6.349
1.808 1.808 -6.349
La Dy Pd
1 1 1
Direct
0.000 0.000 0.000
0.272 0.272 0.000
0.655 0.655 0.000
```

Values from the calculation:
* symmetry: No. 107
* polymorph energy (0 for the lowest one): 58 meV/atom
* crystal system: tetragonal
* energy of formation: -0.511 eV per atom



La2DyPd: optimized geometry, GGA-PBE.

Cell and atoms, written as POSCAR:
```
La2DyPd
1.0
1.868 1.079 10.751
-1.868 1.079 10.751
0.000 -2.157 10.751
La Dy Pd
2 1 1
Direct
0.105 0.105 0.105
0.895 0.895 0.895
0.000 0.000 0.000
0.500 0.500 0.500
```

Values from the calculation:
* symmetry: No. 166
* polymorph energy (0 for the lowest one): 347 meV/atom
* crystal system: trigonal
* energy of formation: -0.071 eV per atom



LaDyPd: optimized geometry, GGA-PBE.

Cell and atoms, written as POSCAR:
```
LaDyPd
1.0
2.909 -2.909 0.000
2.909 2.909 0.000
-2.894 0.000 10.270
La Dy Pd
2 2 2
Direct
0.126 0.874 0.500
0.874 0.126 0.000
0.273 0.524 0.796
0.524 0.273 0.296
0.424 0.677 0.104
0.677 0.424 0.604
```

Values from the calculation:
* symmetry: No. 9
* polymorph energy (0 for the lowest one): 162 meV/atom
* crystal system: monoclinic
* energy of formation: -0.407 eV per atom



LaDyPd: optimized geometry, GGA-PBE.

Cell and atoms, written as POSCAR:
```
LaDyPd
1.0
0.000 3.547 3.547
3.547 0.000 3.547
3.547 3.547 0.000
La Dy Pd
1 1 1
Direct
0.000 0.000 0.000
0.500 0.500 0.500
0.750 0.750 0.750
```

Values from the calculation:
* symmetry: No. 216
* polymorph energy (0 for the lowest one): 153 meV/atom
* crystal system: cubic
* energy of formation: -0.416 eV per atom



La2DyPd: optimized geometry, GGA-PBE.

Cell and atoms, written as POSCAR:
```
La2DyPd
1.0
7.252 0.000 0.000
0.000 10.327 0.000
0.000 0.000 6.573
La Dy Pd
8 4 4
Direct
0.180 0.061 0.169
0.180 0.439 0.169
0.320 0.561 0.669
0.320 0.939 0.669
0.680 0.061 0.331
0.680 0.439 0.331
0.820 0.561 0.831
0.820 0.939 0.831
0.030 0.250 0.656
0.470 0.750 0.156
0.530 0.250 0.844
0.970 0.750 0.344
0.121 0.750 0.936
0.379 0.250 0.436
0.621 0.750 0.564
0.879 0.250 0.064
```

Values from the calculation:
* symmetry: No. 62
* polymorph energy (0 for the lowest one): 0 meV/atom
* crystal system: orthorhombic
* energy of formation: -0.418 eV per atom



LaDyPd3: optimized geometry, GGA-PBE.

Cell and atoms, written as POSCAR:
```
LaDyPd3
1.0
1.930 -13.635 0.000
1.930 13.635 0.000
0.000 0.000 4.339
La Dy Pd
2 2 6
Direct
0.073 0.927 0.750
0.927 0.073 0.250
0.206 0.794 0.250
0.794 0.206 0.750
0.312 0.688 0.250
0.373 0.627 0.750
0.471 0.529 0.750
0.529 0.471 0.250
0.627 0.373 0.250
0.688 0.312 0.750
```

Values from the calculation:
* symmetry: No. 63
* crystal system: orthorhombic
* energy of formation: -0.837 eV per atom



La2Dy3Pd2: optimized geometry, GGA-PBE.

Cell and atoms, written as POSCAR:
```
La2Dy3Pd2
1.0
6.359 -1.880 0.000
6.359 1.880 0.000
-4.279 0.000 8.224
La Dy Pd
2 3 2
Direct
0.157 0.157 0.315
0.843 0.843 0.685
0.384 0.384 0.060
0.500 0.500 0.500
0.616 0.616 0.940
0.164 0.164 0.741
0.836 0.836 0.259
```

Values from the calculation:
* symmetry: No. 12
* crystal system: monoclinic
* energy of formation: -0.518 eV per atom



La2DyPd9: optimized geometry, GGA-PBE.

Cell and atoms, written as POSCAR:
```
La2DyPd9
1.0
4.204 0.000 0.000
0.000 4.204 0.000
0.000 0.000 12.542
La Dy Pd
2 1 9
Direct
0.000 0.000 0.171
0.000 0.000 0.829
0.000 0.000 0.500
0.000 0.500 0.000
0.000 0.500 0.340
0.000 0.500 0.660
0.500 0.000 0.000
0.500 0.000 0.340
0.500 0.000 0.660
0.500 0.500 0.169
0.500 0.500 0.500
0.500 0.500 0.831
```

Values from the calculation:
* symmetry: No. 123
* crystal system: tetragonal
* energy of formation: -0.820 eV per atom